! Ba2YMn3O7, relaxed, DFT PBE with a Hubbard U; values from VASP
! - Total magnetization: 13.8 Bohr magnetons per cell
! - VASP energy: -7.457 eV per atom
&SYSTEM
  ibrav = 0, nat = 13, ntyp = 4
/
ATOMIC_SPECIES
Ba 137.33 Ba.upf
Y 88.91 Y.upf
Mn 54.94 Mn.upf
O 16.00 O.upf
CELL_PARAMETERS angstrom
-0.4502 -2.4783 -3.0368
0.5842 -3.1824 2.5105
-11.6817 -0.4735 2.1181
ATOMIC_POSITIONS crystal
Ba 0.5000 0.5000 0.8153
Ba 0.5000 0.5000 0.1847
Y 0.5000 0.5000 0.5000
Mn 0.0000 0.0000 0.6529
Mn 0.0000 0.0000 0.3471
Mn 0.0000 0.0000 0.0000
O 0.0000 0.5000 0.0000
O 0.5000 0.0000 0.6183
O 0.5000 0.0000 0.3817
O 0.0000 0.5000 0.6207
O 0.0000 0.5000 0.3793
O 0.0000 0.0000 0.8326
O 0.0000 0.0000 0.1674